# Ba2InRh

An optimized crystal structure of Ba2InRh (PBE-GGA, Alexandria).

Calculated values
ρ: 6.25 g/cm³
Formation enthalpy at 0 K: -20 kJ per mole of atoms
Density of states at the Fermi level: 4.0 states/eV/cell

Cell lengths 6.8675, 6.8675, 6.8675 Å; angles 146.89, 131.75, 59.77 degrees
Fractional coordinates of all 4 atoms:
Ba  0.9516  0.9516  0.0000
Ba  0.2602  0.7602  0.5000
In  0.5661  0.5661  0.0000
Rh  0.7222  0.2222  0.5000



# Ba2InRh

An optimized crystal structure of Ba2InRh (PBE-GGA, Alexandria).

Calculated values
ρ: 5.64 g/cm³
Formation enthalpy at 0 K: -29 kJ per mole of atoms
Density of states at the Fermi level: 2.1 states/eV/cell

Cell lengths 4.7384, 4.8524, 6.7570 Å; angles 68.97, 90.00, 90.00 degrees
Fractional coordinates of all 4 atoms:
In  0.0000  0.6810  0.5131
Ba  0.5000  0.2598  0.3559
Rh  0.5000  0.5775  0.7202
Ba  0.0000  0.9818  0.9108



# BaIn2Rh

An optimized crystal structure of BaIn2Rh (PBE-GGA, Alexandria).

Calculated values
ρ: 7.65 g/cm³
Formation enthalpy at 0 K: -4 kJ per mole of atoms
Density of states at the Fermi level: 4.7 states/eV/cell

Cell lengths 5.2438, 5.2438, 5.2438 Å; angles 60.00, 60.00, 60.00 degrees
Fractional coordinates of all 4 atoms:
In  0.7500  0.7500  0.7500
Ba  0.5000  0.5000  0.5000
In  0.2500  0.2500  0.2500
Rh  0.0000  0.0000  0.0000